Here is a PBEsol-optimized structure of BAsBr2N from Alexandria via LeMat-Bulk. Energies are from SCAN.

- Fermi-level density of states: 0.365 states/eV/atom

Cell lengths 4.0698, 4.8777, 4.8777 Å; angles 90.00, 90.00, 90.00 degrees
Last column: magnetic moment on the atom in μB.
Atoms (fractional coordinates):
B  0.0000  0.0000  0.0000  -0.01
Br  0.0000  0.0000  0.5000  0.06
As  0.5000  0.0000  0.0000  -0.09
Br  0.0000  0.5000  0.0000  0.06
N  0.5000  0.5000  0.5000  1.87

=====

Here is a PBEsol-optimized structure of Tl3PdC from Alexandria via LeMat-Bulk. Energies are from SCAN.

- Fermi-level density of states: 0.558 states/eV/atom

Cell lengths 4.7321, 4.7321, 4.7321 Å; angles 90.00, 90.00, 90.00 degrees
Atoms (fractional coordinates):
C  0.0000  0.0000  0.0000
Tl  0.0000  0.0000  0.5000
Tl  0.0000  0.5000  0.0000
Tl  0.5000  0.0000  0.0000
Pd  0.5000  0.5000  0.5000

=====

Here is a PBEsol-optimized structure of KSr3Ir from Alexandria via LeMat-Bulk. Energies are from SCAN.

- Fermi-level density of states: 0.491 states/eV/atom

Cell lengths 4.2502, 9.6028, 10.8685 Å; angles 102.50, 90.00, 90.00 degrees
Atoms (fractional coordinates):
K  0.2500  0.7885  0.4553
Sr  0.7500  0.6009  0.1182
Ir  0.2500  0.7463  0.9833
Sr  0.2500  0.0395  0.8755
K  0.7500  0.2115  0.5447
Sr  0.2500  0.3991  0.8818
Sr  0.7500  0.9605  0.1245
Ir  0.7500  0.2537  0.0167
Sr  0.2500  0.3050  0.2102
Sr  0.7500  0.6950  0.7898

=====

Here is a PBEsol-optimized structure of Os2Ru from Alexandria via LeMat-Bulk. Energies are from SCAN.

- Fermi-level density of states: 0.691 states/eV/atom
- E above lowest polymorph: 1.9 meV per atom

Cell lengths 4.2957, 4.7025, 8.1434 Å; angles 90.00, 90.00, 90.00 degrees
Atoms (fractional coordinates):
Ru  0.2500  0.6646  0.6669
Os  0.2500  0.1672  0.4996
Os  0.2500  0.6672  0.0004
Os  0.7500  0.3328  0.9996
Ru  0.2500  0.1646  0.8331
Os  0.7500  0.3318  0.6666
Os  0.7500  0.8328  0.5004
Os  0.7500  0.8318  0.8334
Os  0.2500  0.1682  0.1666
Ru  0.7500  0.3354  0.3331
Os  0.2500  0.6682  0.3334
Ru  0.7500  0.8354  0.1669

=====

Here is a PBEsol-optimized structure of Sc3TcW from Alexandria via LeMat-Bulk. Energies are from SCAN.

- Fermi-level density of states: 1.013 states/eV/atom

Cell lengths 4.7487, 4.7487, 4.7487 Å; angles 90.00, 90.00, 90.00 degrees
Last column: magnetic moment on the atom in μB.
Atoms (fractional coordinates):
Sc  0.0000  0.0000  0.5000  -0.07
Sc  0.5000  0.0000  0.0000  -0.07
W  0.5000  0.5000  0.5000  2.06
Tc  0.0000  0.0000  0.0000  0.04
Sc  0.0000  0.5000  0.0000  -0.07

=====

Here is a PBEsol-optimized structure of CoCuPt2 from Alexandria via LeMat-Bulk. Energies are from SCAN.

- Fermi-level density of states: 0.604 states/eV/atom

Cell lengths 2.6719, 2.6719, 8.7167 Å; angles 81.18, 81.18, 60.00 degrees
Last column: magnetic moment on the atom in μB.
Atoms (fractional coordinates):
Co  0.5029  0.5029  0.4913  2.07
Pt  0.9954  0.9954  0.0139  0.04
Pt  0.7561  0.7561  0.7316  0.26
Cu  0.2456  0.2456  0.2632  0.03

=====

Here is a PBEsol-optimized structure of MnAg2Br from Alexandria via LeMat-Bulk. Energies are from SCAN.

- Fermi-level density of states: 0.556 states/eV/atom

Cell lengths 3.8773, 3.8773, 4.9196 Å; angles 90.00, 90.00, 90.00 degrees
Last column: magnetic moment on the atom in μB.
Atoms (fractional coordinates):
Br  0.5000  0.5000  0.5000  0.07
Ag  0.0000  0.5000  0.0000  -0.02
Ag  0.5000  0.0000  0.0000  -0.02
Mn  0.0000  0.0000  0.5000  4.29

=====

Here is a PBEsol-optimized structure of BaCaP2 from Alexandria via LeMat-Bulk. Energies are from SCAN.

- Fermi-level density of states: 0.478 states/eV/atom
- E above lowest polymorph: 273.1 meV per atom

Cell lengths 4.0542, 4.9721, 4.9721 Å; angles 90.00, 90.00, 90.00 degrees
Atoms (fractional coordinates):
Ca  0.6519  0.0000  0.0000
Ba  0.6114  0.5000  0.5000
P  0.1196  0.0000  0.5000
P  0.1196  0.5000  0.0000

=====

Here is a PBEsol-optimized structure of Ce5GeSb2 from Alexandria via LeMat-Bulk. Energies are from SCAN.

- Fermi-level density of states: 1.797 states/eV/atom

Cell lengths 7.6905, 9.3158, 11.7691 Å; angles 90.00, 90.00, 90.00 degrees
Last column: magnetic moment on the atom in μB.
Atoms (fractional coordinates):
Ge  0.8845  0.2500  0.9706  -0.08
Ge  0.1155  0.7500  0.0294  -0.08
Ce  0.2037  0.4447  0.0534  0.94
Ce  0.5179  0.7500  0.9914  0.85
Ce  0.8307  0.2500  0.2220  1.00
Ce  0.1693  0.7500  0.7780  1.00
Ce  0.3562  0.2500  0.2897  0.90
Ce  0.1438  0.2500  0.7897  0.90
Sb  0.9283  0.5074  0.6798  -0.06
Ce  0.7037  0.9447  0.4466  0.94
Ge  0.3845  0.7500  0.5294  -0.08
Sb  0.9283  0.9926  0.6798  -0.06
Ce  0.6438  0.7500  0.7103  0.90
Sb  0.5717  0.9926  0.1798  -0.06
Ce  0.2963  0.0553  0.5534  0.94
Ce  0.4821  0.2500  0.0086  0.85
Ge  0.6155  0.2500  0.4706  -0.08
Ce  0.2037  0.0553  0.0534  0.94
Ce  0.2963  0.4447  0.5534  0.94
Ce  0.7037  0.5553  0.4466  0.94
Sb  0.0717  0.4926  0.3202  -0.06
Sb  0.0717  0.0074  0.3202  -0.06
Sb  0.4283  0.4926  0.8202  -0.06
Sb  0.5717  0.5074  0.1798  -0.06
Ce  0.7963  0.9447  0.9466  0.94
Ce  0.6693  0.2500  0.7220  1.00
Ce  0.7963  0.5553  0.9466  0.94
Ce  0.9821  0.7500  0.4914  0.85
Sb  0.4283  0.0074  0.8202  -0.06
Ce  0.3307  0.7500  0.2780  1.00
Ce  0.8562  0.7500  0.2103  0.90
Ce  0.0179  0.2500  0.5086  0.85

=====

Here is a PBEsol-optimized structure of Tm4MnS7 from Alexandria via LeMat-Bulk. Energies are from SCAN.

Cell lengths 3.7047, 6.3811, 11.1562 Å; angles 104.47, 90.00, 106.87 degrees
Last column: magnetic moment on the atom in μB.
Atoms (fractional coordinates):
S  0.9642  0.9284  0.2284  0.02
Tm  0.9961  0.9922  0.0065  0.01
Mn  0.1190  0.2380  0.4227  4.40
S  0.6583  0.3167  0.0482  0.00
S  0.2604  0.5207  0.6402  0.02
Tm  0.6884  0.3769  0.7938  0.01
S  0.7331  0.4662  0.3504  0.05
Tm  0.3022  0.6044  0.1978  0.06
S  0.0340  0.0681  0.7864  0.00
Tm  0.8890  0.7780  0.5665  0.05
S  0.5196  0.0392  0.5124  0.05
S  0.3356  0.6712  0.9467  0.00

=====

Here is a PBEsol-optimized structure of ScMnBeGa2 from Alexandria via LeMat-Bulk. Energies are from SCAN.

- Fermi-level density of states: 0.468 states/eV/atom

Cell lengths 4.4175, 4.5662, 4.5662 Å; angles 90.00, 90.00, 90.00 degrees
Last column: magnetic moment on the atom in μB.
Atoms (fractional coordinates):
Sc  0.5000  0.0000  0.0000  -0.18
Ga  0.0000  0.5000  0.0000  -0.03
Ga  0.0000  0.0000  0.5000  -0.03
Be  0.5000  0.5000  0.5000  0.04
Mn  0.0000  0.0000  0.0000  1.84

=====

Here is a PBEsol-optimized structure of Ir3Cl2 from Alexandria via LeMat-Bulk. Energies are from SCAN.

- Fermi-level density of states: 0.539 states/eV/atom

Cell lengths 3.7857, 3.7857, 8.4573 Å; angles 90.00, 90.00, 120.00 degrees
Last column: magnetic moment on the atom in μB.
Atoms (fractional coordinates):
Ir  0.3333  0.6667  0.4567  0.04
Cl  0.3333  0.6667  0.8699  0.06
Ir  0.6667  0.3333  0.5433  0.04
Cl  0.6667  0.3333  0.1301  0.06
Ir  0.0000  0.0000  0.0000  0.69

=====

| no. | raw total energy (eV for the cell shown) |
| --- | --- |
| 1 | -68.23 |
| 2 | -254.38 |
| 3 | -293.67 |
| 4 | -714.55 |
| 5 | -142.71 |
| 6 | -173.01 |
| 7 | -99.78 |
| 8 | -72.86 |
| 9 | -1293.05 |
| 10 | -318.42 |
| 11 | -67.25 |
| 12 | -225.28 |